1.
16
Lattice="10.226 0.000 0.000 0.000 5.406 0.000 -1.606 0.000 5.701" Properties=species:S:1:pos:R:3 comment="Hf2TiTc, relaxed, DFT PBE-GGA" delta_e_f_ev_per_atom=0.021 final_energy_ev_per_atom=-9.52 relative_energy_mev_per_atom=241 pbc="T T T"
Hf 1.995 0.043 0.589
Hf 1.192 5.363 3.439
Hf 1.512 2.660 5.113
Hf 2.315 2.746 2.262
Hf 6.305 2.660 3.439
Hf 7.108 2.746 0.589
Hf 7.428 0.043 2.262
Hf 6.625 5.363 5.113
Ti -0.401 1.874 1.425
Ti -1.204 3.533 4.276
Ti 3.908 0.829 4.276
Ti 4.711 4.577 1.425
Tc -1.204 0.745 4.276
Tc -0.401 4.661 1.425
Tc 4.711 1.958 1.425
Tc 3.908 3.449 4.276

=====

2.
12
Lattice="4.532 0.000 0.000 0.000 10.094 0.000 0.000 0.000 4.584" Properties=species:S:1:pos:R:3 comment="HfTiTc, relaxed, DFT PBE-GGA" delta_e_f_ev_per_atom=-0.317 final_energy_ev_per_atom=-9.72 relative_energy_mev_per_atom=41 pbc="T T T"
Hf 0.000 0.989 1.146
Hf 0.000 9.105 3.438
Hf 2.266 4.058 3.438
Hf 2.266 6.036 1.146
Ti 0.000 4.005 1.146
Ti 0.000 6.089 3.438
Ti 2.266 1.042 3.438
Ti 2.266 9.052 1.146
Tc 0.000 2.505 3.438
Tc 0.000 7.589 1.146
Tc 2.266 2.542 1.146
Tc 2.266 7.552 3.438

=====

3.
16
Lattice="7.038 0.000 0.000 0.000 7.038 0.000 0.000 0.000 5.583" Properties=species:S:1:pos:R:3 comment="HfTiTc2, relaxed, DFT PBE-GGA" delta_e_f_ev_per_atom=0.263 final_energy_ev_per_atom=-9.38 pbc="T T T"
Hf 0.000 0.000 0.000
Hf 0.000 3.519 1.396
Hf 3.519 0.000 4.187
Hf 3.519 3.519 2.792
Ti 0.000 0.000 2.792
Ti 0.000 3.519 4.187
Ti 3.519 0.000 1.396
Ti 3.519 3.519 0.000
Tc 1.617 1.760 3.490
Tc 1.760 5.136 4.885
Tc 1.760 5.421 2.094
Tc 1.902 1.760 0.698
Tc 5.136 5.279 0.698
Tc 5.279 1.617 2.094
Tc 5.279 1.902 4.885
Tc 5.421 5.279 3.490

=====

4.
12
Lattice="4.385 0.000 0.000 0.000 9.951 0.000 0.000 0.000 4.777" Properties=species:S:1:pos:R:3 comment="HfTiTc, relaxed, DFT PBE-GGA" delta_e_f_ev_per_atom=-0.275 final_energy_ev_per_atom=-9.68 relative_energy_mev_per_atom=83 pbc="T T T"
Hf 0.000 2.443 1.194
Hf 0.000 7.508 3.583
Hf 2.193 2.533 3.583
Hf 2.193 7.418 1.194
Ti 0.000 0.590 3.583
Ti 0.000 9.361 1.194
Ti 2.193 4.385 1.194
Ti 2.193 5.566 3.583
Tc 0.000 4.166 3.583
Tc 0.000 5.785 1.194
Tc 2.193 0.809 1.194
Tc 2.193 9.142 3.583

=====

5.
6
Lattice="3.227 0.000 0.000 0.000 3.227 0.000 0.000 0.000 10.017" Properties=species:S:1:pos:R:3 comment="HfTiTc, relaxed, DFT PBE-GGA" delta_e_f_ev_per_atom=-0.332 final_energy_ev_per_atom=-9.74 relative_energy_mev_per_atom=27 pbc="T T T"
Hf 0.000 0.000 0.000
Hf 1.613 1.613 5.009
Ti 0.000 0.000 6.997
Ti 1.613 1.613 1.989
Tc 0.000 0.000 3.371
Tc 1.613 1.613 8.380

=====

6.
12
Lattice="9.976 0.000 0.000 0.000 4.490 0.000 -3.088 0.000 4.666" Properties=species:S:1:pos:R:3 comment="HfTiTc, relaxed, DFT PBE-GGA" delta_e_f_ev_per_atom=-0.341 final_energy_ev_per_atom=-9.75 relative_energy_mev_per_atom=18 pbc="T T T"
Hf 1.442 0.000 0.469
Hf 0.458 2.245 4.197
Hf 6.430 2.245 0.469
Hf 5.445 0.000 4.197
Ti -0.561 2.245 1.322
Ti 2.461 0.000 3.345
Ti 4.427 0.000 1.322
Ti 7.449 2.245 3.345
Tc -0.180 0.000 2.688
Tc 2.079 2.245 1.978
Tc 4.808 2.245 2.688
Tc 7.067 0.000 1.978

=====

7.
12
Lattice="2.314 -6.965 0.000 2.314 6.965 0.000 0.000 0.000 6.594" Properties=species:S:1:pos:R:3 comment="Hf6TiTc5, relaxed, DFT PBE-GGA" delta_e_f_ev_per_atom=-0.407 final_energy_ev_per_atom=-10.36 pbc="T T T"
Hf 0.000 0.000 1.574
Hf 0.000 0.000 5.020
Hf 2.314 2.377 1.619
Hf 2.314 2.377 4.975
Hf 2.314 -2.377 1.619
Hf 2.314 -2.377 4.975
Ti 2.314 0.000 3.297
Tc 2.314 4.737 3.297
Tc 2.314 4.632 0.000
Tc 2.314 0.000 0.000
Tc 2.314 -4.632 0.000
Tc 2.314 -4.737 3.297

=====

8.
14
Lattice="4.865 0.000 0.000 0.000 4.865 0.000 0.000 0.000 14.165" Properties=species:S:1:pos:R:3 comment="Hf4Ti2Tc, relaxed, DFT PBE-GGA" delta_e_f_ev_per_atom=0.756 final_energy_ev_per_atom=-8.67 pbc="T T T"
Hf 0.000 0.000 2.582
Hf 0.000 0.000 11.583
Hf 0.000 2.433 0.000
Hf 0.000 2.433 7.083
Hf 2.433 0.000 0.000
Hf 2.433 0.000 7.083
Hf 2.433 2.433 4.500
Hf 2.433 2.433 9.665
Ti 0.000 0.000 5.392
Ti 0.000 0.000 8.773
Ti 2.433 2.433 1.691
Ti 2.433 2.433 12.475
Tc 0.000 0.000 0.000
Tc 2.433 2.433 7.083

=====

9.
6
Lattice="3.277 0.000 0.000 0.000 3.277 0.000 0.000 0.000 10.186" Properties=species:S:1:pos:R:3 comment="Hf3TiTc2, relaxed, DFT PBE-GGA" delta_e_f_ev_per_atom=-0.323 final_energy_ev_per_atom=-10.07 pbc="T T T"
Hf 0.000 0.000 0.000
Hf 0.000 0.000 3.186
Hf 0.000 0.000 7.000
Ti 1.638 1.638 5.093
Tc 1.638 1.638 1.676
Tc 1.638 1.638 8.510

=====

10.
19
Lattice="5.764 3.328 2.946 -5.764 3.328 2.946 0.000 -6.656 2.946" Properties=species:S:1:pos:R:3 comment="HfTi12Tc6, relaxed, DFT PBE-GGA" delta_e_f_ev_per_atom=0.095 final_energy_ev_per_atom=-8.69 pbc="T T T"
Hf 0.000 0.000 0.000
Ti -2.186 -3.786 4.419
Ti -4.372 0.000 4.419
Ti -1.505 -0.869 2.800
Ti 1.505 -0.869 2.800
Ti 0.000 1.738 2.800
Ti 2.186 -3.786 4.419
Ti -2.186 3.786 4.419
Ti 0.000 -1.738 6.037
Ti -1.505 0.869 6.037
Ti 1.505 0.869 6.037
Ti 4.372 0.000 4.419
Ti 2.186 3.786 4.419
Tc 0.000 -2.737 3.679
Tc -2.371 1.369 3.679
Tc -2.371 -1.369 5.158
Tc 2.371 1.369 3.679
Tc 2.371 -1.369 5.158
Tc 0.000 2.737 5.158